Material: TlCd2Se2
Method: DFT, PBE
State: optimized geometry

a = 7.746 Å, b = 7.746 Å, c = 7.746 Å
α = 145.95°, β = 145.95°, γ = 48.92°
Fractional positions:
Tl (0.000, 0.000, 0.000)
Cd (0.250, 0.750, 0.500)
Cd (0.750, 0.250, 0.500)
Se (0.368, 0.368, 0.000)
Se (0.632, 0.632, 0.000)

Output
Relative energy among the computed polymorphs   0.000 eV per atom
Space group   No. 139
Size of the total moment   0.000 μB/atom
Energy relative to the elements, uncorrected   -26 kJ per mole of atoms
E   -2.5066 eV/atom
Density of states at the Fermi level   0.4656 states/eV/atom
Theoretical density   6.7 Mg/m³



Material: YGa3Sn
Method: DFT, PBE
State: optimized geometry

a = 5.451 Å, b = 5.451 Å, c = 5.451 Å
α = 90.00°, β = 90.00°, γ = 90.00°
Fractional positions:
Y (0.000, 0.000, 0.000)
Ga (0.000, 0.000, 0.500)
Ga (0.000, 0.500, 0.000)
Ga (0.500, 0.000, 0.000)
Sn (0.500, 0.500, 0.500)

Output
Relative energy among the computed polymorphs   0.206 eV per atom
Space group   No. 221
Size of the total moment   0.000 μB/atom
ΔH_f (0 K)   0.589 eV/atom
E   -3.3203 eV/atom
Density of states at the Fermi level   0.6263 states/eV/atom
Theoretical density   4.3 Mg/m³



Material: CeZnInPd3
Method: DFT, PBE
State: optimized geometry

a = 7.181 Å, b = 7.181 Å, c = 5.809 Å
α = 90.00°, β = 90.00°, γ = 124.47°
Fractional positions:
Ce (0.178, 0.822, 0.750)
Ce (0.822, 0.178, 0.250)
Zn (0.139, 0.861, 0.250)
Zn (0.861, 0.139, 0.750)
In (0.421, 0.579, 0.750)
In (0.579, 0.421, 0.250)
Pd (0.202, 0.202, 0.000)
Pd (0.202, 0.202, 0.500)
Pd (0.342, 0.658, 0.250)
Pd (0.658, 0.342, 0.750)
Pd (0.798, 0.798, 0.000)
Pd (0.798, 0.798, 0.500)

Output
Space group   No. 63
Size of the total moment   0.093 μB/atom
ΔH_f (0 K)   -0.397 eV/atom
E   -4.6516 eV/atom
Density of states at the Fermi level   1.2589 states/eV/atom
Theoretical density   8.6 Mg/m³



Material: NbZn4Mo
Method: DFT, PBE
State: optimized geometry

a = 4.984 Å, b = 4.984 Å, c = 4.984 Å
α = 60.00°, β = 60.00°, γ = 60.00°
Fractional positions:
Nb (0.000, 0.000, 0.000)
Zn (0.126, 0.625, 0.625)
Zn (0.625, 0.126, 0.625)
Zn (0.625, 0.625, 0.126)
Zn (0.625, 0.625, 0.625)
Mo (0.250, 0.250, 0.250)

Output
Space group   No. 216
Size of the total moment   0.000 μB/atom
ΔH_f (0 K)   -0.090 eV/atom
E   -4.4230 eV/atom
Density of states at the Fermi level   0.3065 states/eV/atom
Theoretical density   8.5 Mg/m³



Material: NiHSe2
Method: DFT, PBE
State: optimized geometry

a = 6.132 Å, b = 6.132 Å, c = 6.132 Å
α = 130.39°, β = 130.39°, γ = 72.78°
Fractional positions:
Ni (0.000, 0.000, 0.000)
Ni (0.750, 0.250, 0.500)
H (0.250, 0.750, 0.500)
H (0.500, 0.500, 0.000)
Se (0.149, 0.625, 0.024)
Se (0.375, 0.399, 0.524)
Se (0.601, 0.125, 0.976)
Se (0.875, 0.851, 0.476)

Output
Relative energy among the computed polymorphs   0.332 eV per atom
Space group   No. 122
Size of the total moment   0.000 μB/atom
E   -3.8268 eV/atom
Density of states at the Fermi level   1.0006 states/eV/atom
Theoretical density   5.5 Mg/m³



Material: Al2TeP
Method: DFT, PBE
State: optimized geometry

a = 4.836 Å, b = 4.836 Å, c = 4.836 Å
α = 60.00°, β = 60.00°, γ = 60.00°
Fractional positions:
Al (0.000, 0.000, 0.000)
Al (0.250, 0.250, 0.250)
Te (0.500, 0.500, 0.500)
P (0.750, 0.750, 0.750)

Output
Relative energy among the computed polymorphs   0.710 eV per atom
Space group   No. 216
Size of the total moment   0.000 μB/atom
Energy relative to the elements, uncorrected   42 kJ per mole of atoms
E   -3.5783 eV/atom
Density of states at the Fermi level   0.7849 states/eV/atom
Theoretical density   4.4 Mg/m³



Material: La2FeRu
Method: DFT, PBE
State: optimized geometry

a = 3.321 Å, b = 3.321 Å, c = 8.715 Å
α = 90.00°, β = 90.00°, γ = 90.00°
Fractional positions:
La (0.000, 0.000, 0.000)
La (0.500, 0.500, 0.407)
Fe (0.500, 0.500, 0.764)
Ru (0.000, 0.000, 0.629)

Output
Space group   No. 99
Size of the total moment   0.724 μB/atom
ΔH_f (0 K)   0.174 eV/atom
E   -6.7243 eV/atom
Density of states at the Fermi level   1.4790 states/eV/atom
Theoretical density   7.5 Mg/m³



Material: Y2Co2Tc
Method: DFT, PBE
State: optimized geometry

a = 5.388 Å, b = 5.388 Å, c = 7.464 Å
α = 100.27°, β = 100.27°, γ = 61.17°
Fractional positions:
Y (0.029, 0.271, 0.152)
Y (0.271, 0.029, 0.652)
Y (0.729, 0.971, 0.348)
Y (0.971, 0.729, 0.848)
Co (0.248, 0.496, 0.497)
Co (0.496, 0.248, 0.997)
Co (0.504, 0.752, 0.003)
Co (0.752, 0.504, 0.503)
Tc (0.383, 0.617, 0.250)
Tc (0.617, 0.383, 0.750)

Output
Space group   No. 15
Size of the total moment   0.000 μB/atom
ΔH_f (0 K)   -0.154 eV/atom
E   -7.6547 eV/atom
Density of states at the Fermi level   1.1585 states/eV/atom
Theoretical density   7.0 Mg/m³